Entry 1:
Material: K3Er2CrO6
Method: DFT, GGA+U
State: relaxed

Properties
Its space-group type is C2/m, No. 12.

Unit cell a=5.7744 b=5.7744 c=6.4891 alpha=98.51 beta=98.51 gamma=119.99
Last column: nearest neighbours and their distance in Å.
Element x y z (fractional)
1 K 0.0000 0.0000 0.0000  6 O 2.72-2.84
2 K 0.3367 0.6633 0.0000  6 O 2.71-2.86
3 K 0.6633 0.3367 0.0000  6 O 2.71-2.86
4 Er 0.1668 0.8332 0.5000  6 O 2.28
5 Er 0.8332 0.1668 0.5000  6 O 2.28
6 Cr 0.5000 0.5000 0.5000  6 O 2.13
7 O 0.1257 0.4398 0.3192  1 Cr 2.13, 2 Er 2.28
8 O 0.2458 0.2458 0.6800  1 Cr 2.13, 2 Er 2.28
9 O 0.4398 0.1257 0.3192  1 Cr 2.13, 2 Er 2.28
10 O 0.5602 0.8743 0.6808  1 Cr 2.13, 2 Er 2.28
11 O 0.7542 0.7542 0.3200  1 Cr 2.13, 2 Er 2.28
12 O 0.8743 0.5602 0.6808  1 Cr 2.13, 2 Er 2.28

---

Entry 2:
Material: KErCrO4
Method: DFT, GGA+U
State: relaxed

Properties
Its space-group type is P2_1/m, No. 11.

Unit cell a=5.8009 b=5.8543 c=7.3894 alpha=90.00 beta=108.43 gamma=90.00
Last column: nearest neighbours and their distance in Å.
Element x y z (fractional)
1 K 0.1976 0.2500 0.4346  2 O 2.60-2.68
2 K 0.8024 0.7500 0.5654  2 O 2.60-2.68
3 Er 0.3110 0.2500 0.9600  6 O 2.23-2.33
4 Er 0.6890 0.7500 0.0400  6 O 2.23-2.33
5 Cr 0.2306 0.7500 0.1631  4 O 1.76-1.85
6 Cr 0.7694 0.2500 0.8369  4 O 1.76-1.85
7 O 0.0211 0.7500 0.9317  1 Cr 1.76
8 O 0.0340 0.7500 0.3042  1 Cr 1.77
9 O 0.4571 0.5236 0.1763  1 Cr 1.85
10 O 0.4571 0.9764 0.1763  1 Cr 1.85
11 O 0.5429 0.0236 0.8237  1 Cr 1.85
12 O 0.5429 0.4764 0.8237  1 Cr 1.85
13 O 0.9660 0.2500 0.6958  1 Cr 1.77
14 O 0.9789 0.2500 0.0683  1 Cr 1.76

---

Entry 3:
Material: K2Er2CrO6
Method: DFT, GGA+U
State: relaxed

Properties
Its space-group type is C2/m, No. 12.

Unit cell a=5.6305 b=5.6305 c=6.5750 alpha=97.90 beta=97.90 gamma=119.07
Last column: nearest neighbours and their distance in Å.
Element x y z (fractional)
1 K 0.1622 0.8378 0.0000  6 O 2.73-3.00
2 K 0.8378 0.1622 0.0000  6 O 2.73-3.00
3 Er 0.3360 0.6640 0.5000  6 O 2.24-2.28
4 Er 0.6640 0.3360 0.5000  6 O 2.24-2.28
5 Cr 0.0000 0.0000 0.5000  6 O 1.99-2.05
6 O 0.0491 0.3493 0.6673  1 Cr 1.99
7 O 0.2488 0.2488 0.3267  1 Cr 2.05, 2 Er 2.24
8 O 0.3493 0.0491 0.6673  1 Cr 1.99
9 O 0.6507 0.9509 0.3327  1 Cr 1.99
10 O 0.7512 0.7512 0.6733  1 Cr 2.05, 2 Er 2.24
11 O 0.9509 0.6507 0.3327  1 Cr 1.99

---

Entry 4:
Material: K3Er3CrO8
Method: DFT, GGA+U
State: relaxed

Properties
Its space-group type is R-3m, No. 166.

Unit cell a=7.3605 b=7.3605 c=7.3605 alpha=53.69 beta=53.69 gamma=53.69
Last column: nearest neighbours and their distance in Å.
Element x y z (fractional)
1 K 0.0000 0.5000 0.5000  6 O 2.77
2 K 0.5000 0.0000 0.5000  6 O 2.77
3 K 0.5000 0.5000 0.0000  6 O 2.77
4 Er 0.0000 0.0000 0.5000  6 O 2.23-2.29
5 Er 0.0000 0.5000 0.0000  6 O 2.23-2.29
6 Er 0.5000 0.0000 0.0000  6 O 2.23-2.29
7 Cr 0.5000 0.5000 0.5000  6 O 2.02
8 O 0.2274 0.2274 0.2274  3 Er 2.23
9 O 0.2573 0.7060 0.7060  1 Cr 2.02
10 O 0.2940 0.2940 0.7427  1 Cr 2.02
11 O 0.2940 0.7427 0.2940  1 Cr 2.02
12 O 0.7060 0.2573 0.7060  1 Cr 2.02
13 O 0.7060 0.7060 0.2573  1 Cr 2.02
14 O 0.7427 0.2940 0.2940  1 Cr 2.02
15 O 0.7726 0.7726 0.7726  3 Er 2.23

---

Number 1: magnetic moment 2.99 μB per cell, total energy -78.75 eV per formula unit. Number 2: magnetic moment 4.00 μB per cell, total energy -49.05 eV per formula unit. Number 3: magnetic moment 1.94 μB per cell, total energy -75.51 eV per formula unit. Number 4: magnetic moment 1.96 μB per cell, total energy -102.32 eV per formula unit.